Entry from Alexandria via LeMat-Bulk: an optimized crystal structure of Pm2ZnCoH (PBE).

Cell: 6.0778 4.3468 7.6902 Å, 90.00 110.73 90.00°
Closest atoms and distances in Å follow each position.
Atoms (fractional coordinates):
Pm (0.2182, 0.2500, 0.4421)  1 H 2.39
Pm (0.2364, 0.2500, 0.9215)  2 H 2.39
Pm (0.7636, 0.7500, 0.0785)  2 H 2.39
Pm (0.7818, 0.7500, 0.5579)  1 H 2.39
Zn (0.3478, 0.7500, 0.2242)  2 Co 2.61
Zn (0.6522, 0.2500, 0.7758)  2 Co 2.61
Co (0.4003, 0.7500, 0.7239)  1 H 1.62
Co (0.5997, 0.2500, 0.2761)  1 H 1.62
H (0.1705, 0.7500, 0.7847)  1 Co 1.62
H (0.8295, 0.2500, 0.2153)  1 Co 1.62

Computed properties:
Energy: -4.535 eV per atom